Hf2CdW2 | PBE-GGA | relaxed

Geometry as CIF:
```
data_Hf2CdW2
_chemical_formula_sum 'Hf4 Cd2 W4'
_space_group_name_H-M_alt 'P 1'
_space_group_IT_number 1
_cell_length_a 7.640
_cell_length_b 7.640
_cell_length_c 3.445
_cell_angle_alpha 90.00
_cell_angle_beta 90.00
_cell_angle_gamma 90.00
loop_
_space_group_symop_operation_xyz
'x,y,z'
loop_
_atom_site_label
_atom_site_fract_x
_atom_site_fract_y
_atom_site_fract_z
_atom_site_occupancy
Hf1 0.359 0.859 0.000 1
Hf2 0.859 0.641 0.000 1
Hf3 0.641 0.141 0.000 1
Hf4 0.141 0.359 0.000 1
W1 0.154 0.654 0.500 1
W2 0.654 0.846 0.500 1
W3 0.846 0.346 0.500 1
W4 0.346 0.154 0.500 1
Cd1 0.000 0.000 0.000 1
Cd2 0.500 0.500 0.000 1
```

Output
distance to the lowest polymorph of the same formula = 54 meV per atom
ρ = 13.8 g/cm3
density of states at the Fermi level = 6.0 states/eV/cell